The following is a PBE calculation of a relaxed structure of Ti2BeCu2, from Alexandria via LeMat-Bulk.

Output
Space group: P4/mbm, No. 127
Final energy: -55.1 eV per cell
Total moment: 0.0 μB per cell

Geometry as POSCAR:
```
Ti2BeCu2
1.0
-2.7115 -3.9840 -3.2045
0.7516 -3.8985 4.2107
-3.5891 1.1047 1.6635
Be Cu Ti
2 4 4
direct
0.0000 0.0000 0.0000
0.5000 0.5000 0.0000
0.3558 0.8558 0.0000
0.8558 0.6442 0.0000
0.6442 0.1442 0.0000
0.1442 0.3558 0.0000
0.1714 0.6714 0.5000
0.6714 0.8286 0.5000
0.8286 0.3286 0.5000
0.3286 0.1714 0.5000
```

The following is a PBE calculation of a relaxed structure of Ti6Be15Cu8, from Alexandria via LeMat-Bulk.

Output
Space group: Fm-3m, No. 225
Final energy: -142.8 eV per cell
Total moment: 0.0 μB per cell

Geometry as POSCAR:
```
Ti6Be15Cu8
1.0
7.6054 0.0000 0.0000
3.8027 6.5865 0.0000
3.8027 2.1955 6.2098
Ti Be Cu
6 15 8
direct
0.6970 0.3030 0.3030
0.3030 0.6970 0.6970
0.3030 0.6970 0.3030
0.6970 0.3030 0.6970
0.3030 0.3030 0.6970
0.6970 0.6970 0.3030
0.3267 0.3267 0.3267
0.6733 0.6733 0.6733
0.3267 0.3267 0.0200
0.3267 0.0200 0.3267
0.6733 0.6733 0.9800
0.6733 0.9800 0.6733
0.0200 0.3267 0.3267
0.9800 0.6733 0.6733
0.5000 0.0000 0.0000
0.0000 0.5000 0.5000
0.0000 0.5000 0.0000
0.5000 0.0000 0.5000
0.0000 0.0000 0.5000
0.5000 0.5000 0.0000
0.0000 0.0000 0.0000
0.1221 0.1221 0.1221
0.8779 0.8779 0.8779
0.1221 0.1221 0.6338
0.1221 0.6338 0.1221
0.8779 0.8779 0.3662
0.8779 0.3662 0.8779
0.6338 0.1221 0.1221
0.3662 0.8779 0.8779
```

The following is a PBE calculation of a relaxed structure of BeTl3Cu, from Alexandria via LeMat-Bulk.

Output
Space group: Pm-3m, No. 221
Total moment: 0.0 μB per cell
Energy relative to the lowest polymorph listed for this composition: 155 meV/atom

Geometry as POSCAR:
```
BeTl3Cu
1.0
5.2145 0.0000 0.0000
0.0000 5.2145 0.0000
0.0000 0.0000 5.2145
Be Tl Cu
1 3 1
direct
0.5000 0.5000 0.5000
0.0000 0.5000 0.0000
0.0000 0.0000 0.5000
0.5000 0.0000 0.0000
0.0000 0.0000 0.0000
```

The following is a PBE calculation of a relaxed structure of Be2TlCu, from Alexandria via LeMat-Bulk.

Output
Space group: P2/m, No. 10
Total moment: 0.0 μB per cell
Energy relative to the lowest polymorph listed for this composition: 241 meV/atom

Geometry as POSCAR:
```
Be2TlCu
1.0
-3.6600 0.9233 -0.8165
0.0518 -2.4385 -2.9897
-1.1071 -5.1296 -0.8378
Be Tl Cu
2 1 1
direct
0.0000 0.0000 0.0000
0.5000 0.5000 0.0000
0.0000 0.0000 0.5000
0.5000 0.5000 0.5000
```

The following is a PBE calculation of a relaxed structure of BeTl2Cu2, from Alexandria via LeMat-Bulk.

Output
Space group: P4/mbm, No. 127
Total moment: 0.0 μB per cell
Energy relative to the lowest polymorph listed for this composition: 0 meV/atom

Geometry as POSCAR:
```
BeTl2Cu2
1.0
-5.9873 1.2551 2.0700
-2.2363 -4.9820 -3.4476
0.6192 -2.6143 3.3762
Be Tl Cu
2 4 4
direct
0.0000 0.0000 0.0000
0.5000 0.5000 0.0000
0.1721 0.6721 0.5000
0.6721 0.8279 0.5000
0.8279 0.3279 0.5000
0.3279 0.1721 0.5000
0.3528 0.8528 0.0000
0.8528 0.6472 0.0000
0.6472 0.1472 0.0000
0.1472 0.3528 0.0000
```

The following is a PBE calculation of a relaxed structure of BeTl2Cu, from Alexandria via LeMat-Bulk.

Output
Space group: R-3m, No. 166
Total moment: 0.0 μB per cell
Energy relative to the lowest polymorph listed for this composition: 248 meV/atom

Geometry as POSCAR:
```
BeTl2Cu
1.0
8.3981 0.0218 0.0130
7.7346 3.2718 0.0130
7.7346 1.5791 2.8655
Be Tl Cu
1 2 1
direct
0.7500 0.7500 0.7500
0.0024 0.0024 0.0024
0.4976 0.4976 0.4976
0.2500 0.2500 0.2500
```